Entry 1:
LaNd2Gd after structural relaxation. Source: Alexandria via LeMat-Bulk, functional GGA-PBE.

For the energy relative to the elements, the calculation gives 0.01 eV per atom. The value obtained for the energy above the most stable polymorph in this dataset is 0 meV/atom.

Unit cell a=5.186 b=5.186 c=5.208 alpha=90.00 beta=90.00 gamma=90.00
Space group P4/mmm (No. 123)
One atom of each set of equivalent atoms:
La: 0.000 0.000 0.000
Nd: 0.000 0.500 0.500
Gd: 0.500 0.500 0.000

Entry 2:
Be2FeAu after structural relaxation. Source: Alexandria via LeMat-Bulk, functional GGA-PBE.

For the energy relative to the elements, the calculation gives 0.07 eV per atom.

Unit cell a=3.425 b=3.425 c=7.945 alpha=90.00 beta=90.00 gamma=90.00
Space group I-4m2 (No. 119)
One atom of each set of equivalent atoms:
Be: 0.000 0.000 0.000
Be: 0.000 0.500 0.250
Fe: 0.000 0.500 0.750
Au: 0.000 0.000 0.500

Entry 3:
Pa4AsOsS2 after structural relaxation. Source: Alexandria via LeMat-Bulk, functional GGA-PBE.

The uncorrected formation energy is -8.78 eV per formula unit.

Unit cell a=6.914 b=3.881 c=7.060 alpha=90.00 beta=108.28 gamma=90.00
Space group P2/m (No. 10)
One atom of each set of equivalent atoms:
Pa: 0.242 0.000 0.237
Pa: 0.254 0.500 0.764
As: 0.500 0.500 0.500
Os: 0.500 0.000 0.000
S: 0.000 0.000 0.500
S: 0.000 0.500 0.000

Entry 4:
TlBAs2O after structural relaxation. Source: Alexandria via LeMat-Bulk, functional GGA-PBE.

The uncorrected formation energy is 4.20 eV per formula unit.

Unit cell a=4.363 b=4.363 c=4.625 alpha=90.00 beta=90.00 gamma=90.00
Space group P4/mmm (No. 123)
One atom of each set of equivalent atoms:
Tl: 0.000 0.000 0.000
B: 0.500 0.500 0.000
As: 0.000 0.500 0.500
O: 0.500 0.500 0.500

Entry 5:
HgSb2TeP after structural relaxation. Source: Alexandria via LeMat-Bulk, functional GGA-PBE.

The uncorrected formation energy is 2.55 eV per formula unit. The value obtained for the energy above the most stable polymorph in this dataset is 0 meV/atom.

Unit cell a=5.244 b=5.244 c=5.386 alpha=90.00 beta=90.00 gamma=90.00
Space group P4/mmm (No. 123)
One atom of each set of equivalent atoms:
Hg: 0.000 0.000 0.000
Sb: 0.000 0.500 0.500
Te: 0.500 0.500 0.000
P: 0.500 0.500 0.500

Entry 6:
MgZrMo4 after structural relaxation. Source: Alexandria via LeMat-Bulk, functional GGA-PBE.

For the energy relative to the elements, the calculation gives 0.11 eV per atom.

Unit cell a=7.571 b=7.571 c=7.571 alpha=90.00 beta=90.00 gamma=90.00
Space group F-43m (No. 216)
One atom of each set of equivalent atoms:
Mg: 0.000 0.000 0.000
Zr: 0.250 0.250 0.250
Mo: 0.126 0.126 0.626

Entry 7:
CaNdPa2P4 after structural relaxation. Source: Alexandria via LeMat-Bulk, functional GGA-PBE.

For the energy relative to the elements, the calculation gives -1.32 eV per atom.

Unit cell a=5.705 b=5.705 c=11.493 alpha=90.00 beta=90.00 gamma=90.00
Space group I-4m2 (No. 119)
One atom of each set of equivalent atoms:
Ca: 0.000 0.000 0.000
Nd: 0.000 0.500 0.750
Pa: 0.000 0.000 0.500
Pa: 0.000 0.500 0.250
P: 0.000 0.000 0.258
P: 0.000 0.500 0.008

Entry 8:
Dy4NiAg after structural relaxation. Source: Alexandria via LeMat-Bulk, functional GGA-PBE.

For the energy relative to the elements, the calculation gives 0.01 eV per atom. The value obtained for the energy above the most stable polymorph in this dataset is 297 meV/atom.

Unit cell a=9.430 b=9.430 c=8.216 alpha=90.00 beta=90.00 gamma=90.00
Space group I4_1md (No. 109)
One atom of each set of equivalent atoms:
Dy: 0.000 0.194 0.000
Dy: 0.000 0.212 0.457
Ni: 0.000 0.000 0.234
Ag: 0.000 0.000 0.721

Entry 9:
K2CaCdH6 after structural relaxation. Source: Alexandria via LeMat-Bulk, functional GGA-PBE.

As for the calculated total energy: -27.30 eV/cell.

Unit cell a=4.306 b=4.306 c=8.461 alpha=90.00 beta=90.00 gamma=90.00
Space group P4/mmm (No. 123)
One atom of each set of equivalent atoms:
K: 0.000 0.000 0.229
Ca: 0.500 0.500 0.500
Cd: 0.500 0.500 0.000
H: 0.000 0.500 0.000
H: 0.000 0.500 0.500
H: 0.500 0.500 0.232

Entry 10:
PuMgInBr6 after structural relaxation. Source: Alexandria via LeMat-Bulk, functional GGA-PBE.

The uncorrected formation energy is -11.74 eV per formula unit.

Unit cell a=7.2918 b=7.2918 c=14.2444 alpha=90.00 beta=90.00 gamma=120.00
Space group P-31c (No. 163)
One atom of each set of equivalent atoms:
Pu: 0.3333 0.6667 0.2500
Mg: 0.3333 0.6667 0.7500
In: 0.0000 0.0000 0.0000
Br: 0.0188 0.3768 0.6396

Entry 11:
TbSm2Y2 after structural relaxation. Source: Alexandria via LeMat-Bulk, functional GGA-PBE.

For the energy relative to the elements, the calculation gives 0.05 eV per atom. The value obtained for the energy above the most stable polymorph in this dataset is 41 meV/atom.

Unit cell a=5.506 b=16.897 c=7.088 alpha=90.00 beta=90.00 gamma=90.00
Space group Cmc2_1 (No. 36)
One atom of each set of equivalent atoms:
Tb: 0.000 0.109 0.000
Sm: 0.000 0.108 0.502
Sm: 0.000 0.302 0.750
Y: 0.000 0.301 0.250
Y: 0.000 0.500 0.251

Entry 12:
Mg3PN after structural relaxation. Source: Alexandria via LeMat-Bulk, functional GGA-PBE.

The uncorrected formation energy is -2.14 eV per formula unit. The value obtained for the energy above the most stable polymorph in this dataset is 310 meV/atom.

Unit cell a=6.067 b=9.585 c=6.035 alpha=90.00 beta=90.00 gamma=90.00
Space group Pnma (No. 62)
One atom of each set of equivalent atoms:
Mg: 0.147 0.097 0.145
Mg: 0.188 0.250 0.675
P: 0.000 0.000 0.500
N: 0.001 0.750 0.028

Entry 13:
NdEr2Rh2 after structural relaxation. Source: Alexandria via LeMat-Bulk, functional GGA-PBE.

For the energy relative to the elements, the calculation gives -0.59 eV per atom. The value obtained for the energy above the most stable polymorph in this dataset is 25 meV/atom.

Unit cell a=6.353 b=6.352 c=6.648 alpha=90.00 beta=114.64 gamma=90.00
Space group C2/m (No. 12)
One atom of each set of equivalent atoms:
Nd: 0.000 0.000 0.000
Er: 0.000 0.253 0.500
Rh: 0.130 0.500 0.215

Entry 14:
FeP2Pd after structural relaxation. Source: Alexandria via LeMat-Bulk, functional GGA-PBE.

For the energy relative to the elements, the calculation gives 0.05 eV per atom. The value obtained for the energy above the most stable polymorph in this dataset is 181 meV/atom.

Unit cell a=6.013 b=6.013 c=6.013 alpha=90.00 beta=90.00 gamma=90.00
Space group Fm-3m (No. 225)
One atom of each set of equivalent atoms:
Fe: 0.000 0.000 0.000
P: 0.250 0.250 0.250
Pd: 0.000 0.000 0.500

Entry 15:
Tb8CuTe4Se3 after structural relaxation. Source: Alexandria via LeMat-Bulk, functional GGA-PBE.

The uncorrected formation energy is -22.03 eV per formula unit.

Unit cell a=8.4111 b=8.4111 c=21.1619 alpha=90.00 beta=90.00 gamma=120.00
Space group R-3m (No. 166, hexagonal axes)
One atom of each set of equivalent atoms:
Tb: 0.0000 0.0000 0.2399
Tb: 0.0132 0.5066 0.2395
Cu: 0.0000 0.0000 0.5000
Te: 0.0000 0.0000 0.0000
Te: 0.0000 0.5000 0.0000
Se: 0.0000 0.5000 0.5000

Entry 16:
Tm12Cu5Pb after structural relaxation. Source: Alexandria via LeMat-Bulk, functional GGA-PBE.

For the energy relative to the elements, the calculation gives -0.23 eV per atom.

Unit cell a=9.324 b=9.484 c=10.049 alpha=90.00 beta=90.00 gamma=90.00
Space group Immm (No. 71)
One atom of each set of equivalent atoms:
Tm: 0.000 0.193 0.226
Tm: 0.196 0.500 0.181
Tm: 0.221 0.320 0.500
Cu: 0.000 0.000 0.000
Cu: 0.000 0.357 0.000
Cu: 0.000 0.500 0.379
Pb: 0.000 0.000 0.500

Entry 17:
Zn2HgW after structural relaxation. Source: Alexandria via LeMat-Bulk, functional GGA-PBE.

For the energy relative to the elements, the calculation gives 0.42 eV per atom.

Unit cell a=3.487 b=4.358 c=8.893 alpha=90.00 beta=90.00 gamma=90.00
Space group Cmm2 (No. 35)
One atom of each set of equivalent atoms:
Zn: 0.000 0.000 0.000
Zn: 0.000 0.500 0.227
Hg: 0.000 0.500 0.729
W: 0.000 0.000 0.458

Entry 18:
CaPm2PbC after structural relaxation. Source: Alexandria via LeMat-Bulk, functional GGA-PBE.

For the energy relative to the elements, the calculation gives -0.40 eV per atom.

Unit cell a=5.085 b=5.085 c=5.029 alpha=90.00 beta=90.00 gamma=90.00
Space group P4/mmm (No. 123)
One atom of each set of equivalent atoms:
Ca: 0.000 0.000 0.000
Pm: 0.000 0.500 0.500
Pb: 0.500 0.500 0.000
C: 0.000 0.000 0.500

Entry 19:
Dy2TmPaSe4 after structural relaxation. Source: Alexandria via LeMat-Bulk, functional GGA-PBE.

The uncorrected formation energy is -12.58 eV per formula unit.

Unit cell a=7.015 b=4.008 c=7.100 alpha=90.00 beta=108.79 gamma=90.00
Space group P2/m (No. 10)
One atom of each set of equivalent atoms:
Dy: 0.000 0.000 0.000
Dy: 0.000 0.500 0.500
Tm: 0.500 0.000 0.500
Pa: 0.500 0.500 0.000
Se: 0.249 0.000 0.745
Se: 0.253 0.500 0.255

Entry 20:
LiHfO after structural relaxation. Source: Alexandria via LeMat-Bulk, functional GGA-PBE.

The uncorrected formation energy is -5.13 eV per formula unit. The value obtained for the energy above the most stable polymorph in this dataset is 66 meV/atom.

Unit cell a=3.2420 b=3.2420 c=8.6048 alpha=90.00 beta=90.00 gamma=120.00
Space group P3m1 (No. 156)
One atom of each set of equivalent atoms:
Li: 0.0000 0.0000 0.0000
Li: 0.3333 0.6667 0.1847
Hf: 0.0000 0.0000 0.4573
Hf: 0.6667 0.3333 0.7442
O: 0.0000 0.0000 0.2252
O: 0.3333 0.6667 0.9092

Entry 21:
SrYP2 after structural relaxation. Source: Alexandria via LeMat-Bulk, functional GGA-PBE.

For the energy relative to the elements, the calculation gives -0.94 eV per atom. The value obtained for the energy above the most stable polymorph in this dataset is 223 meV/atom.

Unit cell a=4.565 b=5.483 c=7.584 alpha=90.00 beta=90.00 gamma=90.00
Space group Cmmm (No. 65)
One atom of each set of equivalent atoms:
Sr: 0.000 0.000 0.000
Y: 0.000 0.000 0.500
P: 0.000 0.500 0.274